[1]
Computed, not measured: a geometry-optimized Ti2GaPd5 structure at the PBE level of DFT.

The structure in POSCAR format:
```
Ti2GaPd5
1.0
5.594 0.002 0.005
0.001 6.705 0.217
-2.797 -3.260 3.157
Ga Ti Pd
1 2 5
Cartesian
0.001 -0.075 1.170
2.798 -0.345 1.233
0.000 3.652 1.779
1.396 1.488 2.903
4.156 1.945 0.102
2.796 3.650 1.871
1.437 1.944 0.098
-1.393 1.488 2.900
```

Polymorph energy (0 for the lowest one): 14 meV per atom
Symmetry: No. 8
ΔH_f (0 K): -541 meV per atom
Magnetization: 1.15 μB per formula unit

***

[2]
Computed, not measured: a geometry-optimized Dy2OsC2 structure at the PBE level of DFT.

The structure in POSCAR format:
```
Dy2OsC2
1.0
5.135 0.000 0.000
0.000 6.454 0.000
0.000 0.000 9.799
C Dy Os
8 8 4
Cartesian
3.851 3.468 2.370
3.851 0.241 2.530
3.851 4.360 5.413
1.284 5.321 0.513
3.851 1.133 9.286
1.284 2.986 7.429
1.284 6.213 7.269
1.284 2.094 4.386
3.851 3.059 7.651
1.284 3.395 2.148
1.284 1.188 9.290
3.851 2.039 4.390
1.284 0.168 2.751
1.284 4.415 5.409
3.851 6.286 7.048
3.851 5.266 0.509
1.284 1.460 6.228
1.284 4.687 8.471
3.851 1.767 1.328
3.851 4.994 3.572
```

Symmetry: No. 62
ΔH_f (0 K): -386 meV per atom
Magnetization: 0.00 μB per formula unit

***

[3]
Computed, not measured: a geometry-optimized Pa4Ga6Rh7 structure at the PBE level of DFT.

The structure in POSCAR format:
```
Pa4Ga6Rh7
1.0
6.891 0.000 -2.436
-3.446 5.968 -2.436
0.000 0.000 7.309
Ga Rh Pa
6 7 4
Cartesian
2.164 0.000 1.530
-1.082 1.874 1.530
1.082 1.874 -1.530
2.364 4.094 -3.343
4.727 0.000 3.343
-2.364 4.094 3.343
3.446 2.984 -1.218
0.000 2.984 3.655
-0.861 4.476 1.218
2.584 1.492 3.655
0.861 4.476 -1.218
4.307 1.492 1.218
0.000 0.000 0.000
1.723 2.984 1.218
3.446 0.000 -1.218
-1.723 2.984 -1.218
0.000 0.000 3.655
```

Symmetry: No. 229
ΔH_f (0 K): -746 meV per atom
Magnetization: 0.00 μB per formula unit

***

[4]
Computed, not measured: a geometry-optimized ZrBeCoAu2 structure at the PBE level of DFT.

The structure in POSCAR format:
```
ZrBeCoAu2
1.0
4.304 0.000 0.000
0.000 4.710 0.000
0.000 0.000 4.304
Au Be Co Zr
2 1 1 1
Cartesian
0.000 0.000 2.152
2.152 0.000 0.000
0.000 0.000 0.000
2.152 2.355 2.152
0.000 2.355 0.000
```

Symmetry: No. 123
ΔH_f (0 K): 401 meV per atom
Magnetization: 1.55 μB per formula unit

***

[5]
Computed, not measured: a geometry-optimized Tb7Bi2Ir2 structure at the PBE level of DFT.

The structure in POSCAR format:
```
Tb7Bi2Ir2
1.0
-2.902 -0.966 2.303
2.641 4.379 8.347
-3.696 8.790 2.212
Tb Bi Ir
7 2 2
Cartesian
-4.712 8.869 7.331
-3.198 2.074 3.206
-4.933 8.158 3.572
-1.103 7.525 8.132
-2.030 11.013 8.427
-2.374 5.512 2.503
-1.590 3.798 5.955
-2.877 6.727 5.562
1.162 5.408 6.915
-2.349 8.876 10.312
-0.407 2.490 3.715
```

Polymorph energy (0 for the lowest one): 0 meV per atom
Symmetry: No. 44
ΔH_f (0 K): -668 meV per atom
Magnetization: 0.00 μB per formula unit

***

[6]
Computed, not measured: a geometry-optimized CaTb4Sm15 structure at the PBE level of DFT.

The structure in POSCAR format:
```
CaTb4Sm15
1.0
5.129 0.000 0.000
0.000 5.129 0.000
0.000 0.000 25.597
Sm Tb Ca
15 4 1
Cartesian
2.565 0.000 17.880
0.000 2.565 12.799
2.565 2.565 0.000
0.000 2.565 22.938
2.565 2.565 10.248
2.565 0.000 12.799
2.565 2.565 5.147
0.000 2.565 17.880
2.565 2.565 15.349
2.565 0.000 7.717
2.565 2.565 20.450
0.000 2.565 2.659
2.565 0.000 22.938
2.565 0.000 2.659
0.000 2.565 7.717
0.000 0.000 10.257
0.000 0.000 20.445
0.000 0.000 15.340
0.000 0.000 5.152
0.000 0.000 0.000
```

Symmetry: No. 123
ΔH_f (0 K): 29 meV per atom
Magnetization: 0.00 μB per formula unit

***

[7]
Computed, not measured: a geometry-optimized NiHgRu2Cl structure at the PBE level of DFT.

The structure in POSCAR format:
```
NiHgRu2Cl
1.0
4.428 0.000 0.000
0.000 4.170 0.000
0.000 0.000 4.428
Ru Cl Hg Ni
2 1 1 1
Cartesian
0.000 0.000 2.214
2.214 0.000 0.000
0.000 0.000 0.000
2.214 2.085 2.214
0.000 2.085 0.000
```

Symmetry: No. 123
Formation energy without anion corrections: 0.915 eV/atom
Magnetization: 0.73 μB per formula unit

***

[8]
Computed, not measured: a geometry-optimized Tb5Er2TmTh structure at the PBE level of DFT.

The structure in POSCAR format:
```
Tb5Er2TmTh
1.0
5.575 0.000 0.000
-2.787 10.042 0.000
0.000 0.000 10.420
Tb Th Er Tm
10 2 4 2
Cartesian
2.787 4.070 2.151
0.000 5.535 3.265
2.787 9.745 5.416
0.000 0.297 0.206
2.787 4.507 8.475
0.000 9.643 7.728
2.787 0.399 2.518
0.000 7.775 0.260
2.787 2.267 5.470
0.000 5.972 7.361
0.000 3.974 0.145
2.787 6.067 5.355
0.000 2.269 3.261
2.787 7.773 8.471
0.000 2.253 7.668
2.787 7.789 2.458
2.787 1.857 9.953
0.000 8.184 4.743
```

Symmetry: No. 36
ΔH_f (0 K): 158 meV per atom
Magnetization: 0.00 μB per formula unit